Entry from OQMD: a geometry-optimized Rb2CuBiCl6 structure (PBE).

Cell: 7.389 7.389 7.389 Å, 119.98 119.98 60.02°
Fractional positions:
Bi (0.000, 0.000, 0.000)
Cl (0.738, 0.260, 0.261)
Cl (0.260, 0.738, 0.261)
Cl (0.261, 0.261, 0.262)
Cl (0.739, 0.739, 0.738)
Cl (0.740, 0.262, 0.739)
Cl (0.262, 0.740, 0.739)
Cu (0.500, 0.500, 0.500)
Rb (0.750, 0.750, 0.250)
Rb (0.250, 0.250, 0.750)

Summary:
Final energy in eV/atom: -3.349
Volume in A^3/atom: 28.54
Excess energy over the best structure of this formula in the dataset in meV per atom: 3.1

***

Entry from OQMD: a geometry-optimized LuCu2Re structure (PBE).

Cell: 4.494 4.494 4.494 Å, 60.00 60.00 60.00°
Fractional positions:
Cu (0.000, 0.000, 0.000)
Cu (0.250, 0.250, 0.250)
Lu (0.500, 0.500, 0.500)
Re (0.750, 0.750, 0.750)

Summary:
ΔE_f in eV per atom: 0.50
Final energy in eV/atom: -5.595
Volume in A^3/atom: 16.04

***

Entry from OQMD: a geometry-optimized BeAgMo structure (PBE).

Cell: 3.994 3.994 3.994 Å, 60.00 60.00 60.00°
Fractional positions:
Ag (0.250, 0.250, 0.250)
Be (0.000, 0.000, 0.000)
Mo (0.750, 0.750, 0.750)

Summary:
Final energy in eV/atom: -5.013
Volume in A^3/atom: 15.02
Excess energy over the best structure of this formula in the dataset in meV per atom: 0.0

***

Entry from OQMD: a geometry-optimized DyTmCo2 structure (PBE).

Cell: 3.874 7.293 5.466 Å, 90.00 90.00 90.00°
Fractional positions:
Co (0.000, 0.225, 0.104)
Co (0.000, 0.719, 0.398)
Co (0.500, 0.775, 0.604)
Co (0.500, 0.281, 0.898)
Dy (0.500, 0.926, 0.117)
Dy (0.000, 0.074, 0.617)
Tm (0.500, 0.429, 0.381)
Tm (0.000, 0.571, 0.881)

Summary:
ΔE_f in eV per atom: -0.23
Final energy in eV/atom: -6.051
Volume in A^3/atom: 19.30

***

Entry from OQMD: a geometry-optimized SmMg8Be4 structure (PBE).

Cell: 7.174 7.174 7.174 Å, 98.71 98.71 134.19°
Fractional positions:
Be (0.683, 0.500, 0.183)
Be (0.500, 0.683, 0.183)
Be (0.500, 0.317, 0.817)
Be (0.317, 0.500, 0.817)
Mg (0.500, 0.000, 0.000)
Mg (0.000, 0.500, 0.000)
Mg (0.352, 0.000, 0.352)
Mg (0.000, 0.352, 0.352)
Mg (0.000, 0.000, 0.500)
Mg (0.500, 0.500, 0.500)
Mg (0.648, 0.000, 0.648)
Mg (0.000, 0.648, 0.648)
Sm (0.000, 0.000, 0.000)

Summary:
Final energy in eV/atom: -2.254
Volume in A^3/atom: 18.76
Excess energy over the best structure of this formula in the dataset in meV per atom: 77.6

***

Entry from OQMD: a geometry-optimized Cs5Nb2S4Cl9 structure (PBE).

Cell: 7.285 10.408 10.408 Å, 120.00 110.49 90.00°
Fractional positions:
Cl (0.500, 0.500, 0.000)
Cl (0.129, 0.375, 0.258)
Cl (0.129, 0.882, 0.258)
Cl (0.441, 0.202, 0.405)
Cl (0.964, 0.202, 0.405)
Cl (0.036, 0.798, 0.595)
Cl (0.559, 0.798, 0.595)
Cl (0.871, 0.118, 0.742)
Cl (0.871, 0.625, 0.742)
Cs (0.000, 0.500, 0.000)
Cs (0.664, 0.444, 0.328)
Cs (0.664, 0.884, 0.328)
Cs (0.336, 0.116, 0.672)
Cs (0.336, 0.556, 0.672)
Nb (0.089, 0.089, 0.178)
Nb (0.911, 0.911, 0.822)
S (0.244, 0.097, 0.000)
S (0.756, 0.097, 0.000)
S (0.244, 0.903, 0.000)
S (0.756, 0.903, 0.000)

Summary:
Final energy in eV/atom: -4.396
Volume in A^3/atom: 31.26